No. 1
Entry from Alexandria: a geometry-optimized Ac2YPb9 structure (GGA-PBE).

Computed properties:
ΔH_f (0 K) = -371 meV per atom
ρ = 10.63 g cm⁻³
magnetic moment = 0.00 Bohr magnetons per cell

Cell: 5.026 5.026 14.887 Å, 90.00 90.00 90.00°
Fractional coordinates of all 12 atoms:
1 Pb 0.000 0.500 0.843
2 Pb 0.000 0.500 0.500
3 Pb 0.000 0.500 0.157
4 Pb 0.500 0.500 0.671
5 Pb 0.500 0.000 0.157
6 Pb 0.500 0.000 0.500
7 Pb 0.500 0.000 0.843
8 Pb 0.500 0.500 0.000
9 Pb 0.500 0.500 0.329
10 Y 0.000 0.000 0.000
11 Ac 0.000 0.000 0.329
12 Ac 0.000 0.000 0.671

***

No. 2
Entry from Alexandria: a geometry-optimized Pm3Al2GaPt9 structure (GGA-PBE).

Computed properties:
ΔH_f (0 K) = -686 meV per atom
ρ = 11.77 g cm⁻³
magnetic moment = 0.00 Bohr magnetons per cell

Cell: 6.457 6.457 9.044 Å, 90.00 90.00 120.00°
Fractional coordinates of all 15 atoms:
1 Pt 0.720 0.860 0.281
2 Pt 0.140 0.860 0.281
3 Pt 0.500 0.000 0.000
4 Pt 0.860 0.720 0.719
5 Pt 0.500 0.500 0.000
6 Pt 0.140 0.280 0.281
7 Pt 0.860 0.140 0.719
8 Pt 0.000 0.500 0.000
9 Pt 0.280 0.140 0.719
10 Ga 0.000 0.000 0.500
11 Al 0.333 0.667 0.182
12 Al 0.667 0.333 0.818
13 Pm 0.333 0.667 0.724
14 Pm 0.667 0.333 0.276
15 Pm 0.000 0.000 0.000

***

No. 3
Entry from Alexandria: a geometry-optimized BaCaZn2Rh structure (GGA-PBE).

Computed properties:
ΔH_f (0 K) = -242 meV per atom
ρ = 5.10 g cm⁻³
magnetic moment = 0.00 Bohr magnetons per cell

Cell: 5.099 5.099 5.150 Å, 90.00 90.00 90.00°
Fractional coordinates of all 5 atoms:
1 Zn 0.500 0.000 0.000
2 Zn 0.000 0.500 0.000
3 Ca 0.000 0.000 0.500
4 Rh 0.000 0.000 0.000
5 Ba 0.500 0.500 0.500

***

No. 4
Entry from Alexandria: a geometry-optimized Ca2ZrCd structure (GGA-PBE).

Computed properties:
ΔH_f (0 K) = 156 meV per atom
ρ = 3.95 g cm⁻³
magnetic moment = 0.00 Bohr magnetons per cell

Cell: 5.185 3.558 6.702 Å, 74.58 90.00 90.00°
Fractional coordinates of all 4 atoms:
1 Ca 0.000 0.960 0.956
2 Ca 0.500 0.289 0.297
3 Cd 0.000 0.682 0.508
4 Zr 0.500 0.569 0.739

***

No. 5
Entry from Alexandria: a geometry-optimized Y3Zn2Ni9 structure (GGA-PBE).

Computed properties:
ΔH_f (0 K) = -305 meV per atom
ρ = 7.30 g cm⁻³
magnetic moment = 0.00 Bohr magnetons per cell

Cell: 3.996 7.741 7.741 Å, 67.64 75.04 75.04°
Fractional coordinates of all 14 atoms:
1 Zn 0.500 0.711 0.289
2 Zn 0.500 0.289 0.711
3 Ni 0.120 0.604 0.156
4 Ni 0.120 0.156 0.604
5 Ni 0.880 0.844 0.396
6 Ni 0.321 0.032 0.326
7 Ni 0.000 0.500 0.500
8 Ni 0.880 0.396 0.844
9 Ni 0.679 0.968 0.674
10 Ni 0.679 0.674 0.968
11 Ni 0.321 0.326 0.032
12 Y 0.696 0.304 0.304
13 Y 0.304 0.696 0.696
14 Y 0.000 0.000 0.000

***

No. 6
Entry from Alexandria: a geometry-optimized BeCuPt3 structure (GGA-PBE).

Computed properties:
ΔH_f (0 K) = 85 meV per atom
ρ = 14.75 g cm⁻³
energy above the lowest structure with this stoichiometry = 43.4 kJ per mole of atoms
magnetic moment = 0.00 Bohr magnetons per cell

Cell: 4.200 4.200 4.200 Å, 90.00 90.00 90.00°
Fractional coordinates of all 5 atoms:
1 Pt 0.000 0.500 0.000
2 Pt 0.000 0.000 0.500
3 Pt 0.500 0.000 0.000
4 Be 0.000 0.000 0.000
5 Cu 0.500 0.500 0.500

***

No. 7
Entry from Alexandria: a geometry-optimized CsCd4In2 structure (GGA-PBE).

Computed properties:
ΔH_f (0 K) = 42 meV per atom
ρ = 6.20 g cm⁻³
energy above the lowest structure with this stoichiometry = 7.5 kJ per mole of atoms
magnetic moment = 0.00 Bohr magnetons per cell

Cell: 4.913 4.444 10.503 Å, 102.21 103.52 90.00°
Fractional coordinates of all 7 atoms:
1 Cd 0.923 0.423 0.845
2 Cd 0.669 0.669 0.339
3 Cd 0.331 0.331 0.661
4 Cd 0.077 0.577 0.155
5 In 0.815 0.815 0.631
6 In 0.185 0.185 0.369
7 Cs 0.500 0.000 0.000

***

No. 8
Entry from Alexandria: a geometry-optimized LaMg6W structure (GGA-PBE).

Computed properties:
ΔH_f (0 K) = 314 meV per atom
ρ = 4.25 g cm⁻³
energy above the lowest structure with this stoichiometry = 0.7 kJ per mole of atoms
magnetic moment = 0.01 Bohr magnetons per cell

Cell: 6.687 6.687 5.119 Å, 90.00 90.00 126.82°
Fractional coordinates of all 8 atoms:
1 Mg 0.824 0.680 0.500
2 Mg 0.200 0.800 0.000
3 Mg 0.656 0.815 0.000
4 Mg 0.652 0.348 0.000
5 Mg 0.320 0.176 0.500
6 Mg 0.185 0.344 0.000
7 W 0.343 0.657 0.500
8 La 0.819 0.181 0.500